--- a ---
Entry from the Alexandria database: crystalline Tm2HgRu at its relaxed geometry (PBE).

Properties
density of states at the Fermi level: 4.316 states/eV/cell

Structure (extended XYZ):
```
4
Lattice="-3.0922 -1.0592 1.5543 -0.0930 -3.0453 1.9536 0.9061 2.9868 8.0516" Properties=species:S:1:pos:R:3 pbc="T T T"
Ru 0.0000 0.0000 0.0000
Tm -1.6383 -0.6810 8.9182
Tm -0.6408 -0.4367 2.6414
Hg -1.1395 -0.5589 5.7798
```

--- b ---
Entry from the Alexandria database: crystalline Tm2HgRu at its relaxed geometry (PBE).

Properties
density of states at the Fermi level: 2.533 states/eV/cell

Structure (extended XYZ):
```
4
Lattice="-2.4449 0.7769 2.2803 0.3541 -3.0977 1.4351 5.1430 2.7140 4.5893" Properties=species:S:1:pos:R:3 pbc="T T T"
Ru -1.0454 -1.1604 1.8577
Tm 4.0103 2.1163 3.5786
Tm 1.1327 0.5977 1.0107
Hg 1.5261 0.1966 4.1524
```

Which is the most stable structure? b is the most stable.

--- a ---
Entry from the Alexandria database: crystalline TmHgRu at its relaxed geometry (PBE).

Properties
density of states at the Fermi level: 3.571 states/eV/cell

Structure (extended XYZ):
```
6
Lattice="-2.5025 1.9970 2.2190 -3.8169 -0.1312 -0.7673 -3.1687 -8.2695 7.2878" Properties=species:S:1:pos:R:3 pbc="T T T"
Ru -2.1419 0.3249 0.7111
Ru -7.3461 -6.7286 8.0283
Hg -2.5403 -3.0093 3.2626
Hg -6.9478 -3.3944 5.4769
Tm -5.0433 -5.7066 6.2864
Tm -4.4448 -0.6971 2.4531
```

--- b ---
Entry from the Alexandria database: crystalline TmHgRu at its relaxed geometry (PBE).

Properties
density of states at the Fermi level: 2.049 states/eV/cell

Structure (extended XYZ):
```
3
Lattice="3.5047 0.0000 0.0000 0.0000 3.5047 0.0000 -1.7524 -1.7524 4.8928" Properties=species:S:1:pos:R:3 pbc="T T T"
Ru 0.0000 0.0000 2.8161
Tm 1.7524 1.7524 4.2588
Hg 1.7524 1.7524 1.2430
```

Which is the most stable structure? b is the most stable.

--- a ---
Entry from the Alexandria database: crystalline Tm4HgRu at its relaxed geometry (PBE).

Properties
density of states at the Fermi level: 8.930 states/eV/cell

Structure (extended XYZ):
```
12
Lattice="-2.1319 -5.9663 1.7313 4.3584 -2.8279 -4.3785 5.2323 -0.3687 5.4465" Properties=species:S:1:pos:R:3 pbc="T T T"
Tm 2.0263 -7.0577 -0.2348
Tm 3.4594 -4.4995 4.8112
Tm 2.6998 -3.1699 1.0329
Tm 6.7063 -3.5817 0.0154
Tm 5.4326 -2.1051 3.0341
Tm 3.9995 -4.6633 -2.0119
Tm 4.7591 -5.9930 1.7664
Tm 0.7526 -5.5812 2.7839
Hg 0.0000 0.0000 0.0000
Hg 1.1133 -4.3971 -1.3236
Ru 1.5502 -3.1675 3.5889
Ru 4.7954 -1.5983 0.5340
```

--- b ---
Entry from the Alexandria database: crystalline Tm4HgRu at its relaxed geometry (PBE).

Properties
density of states at the Fermi level: 10.122 states/eV/cell

Structure (extended XYZ):
```
12
Lattice="6.0332 0.3469 -1.1016 -2.0233 6.7957 -2.5325 0.2134 -0.1712 7.5242" Properties=species:S:1:pos:R:3 pbc="T T T"
Tm 4.3404 4.5042 3.3816
Tm -1.5702 6.3108 -0.3429
Tm 3.2564 1.5293 1.5619
Tm 1.3041 5.0748 -1.8385
Tm 2.9193 1.8965 5.7287
Tm 0.9670 5.4420 2.3283
Tm 5.7936 0.6605 4.2331
Tm -0.1170 2.4672 0.5085
Hg 3.3361 4.4568 0.3931
Hg 0.8873 2.5146 3.4971
Ru -0.5129 6.8758 -2.7983
Ru 4.7362 0.0956 6.6884
```

Which is the most stable structure? b is the most stable.

--- a ---
Entry from the Alexandria database: crystalline UHgRu2 at its relaxed geometry (PBE).

Properties
density of states at the Fermi level: 2.127 states/eV/cell

Structure (extended XYZ):
```
4
Lattice="3.6630 0.0000 0.0000 0.0000 4.3834 0.0000 0.0000 0.0000 4.3834" Properties=species:S:1:pos:R:3 pbc="T T T"
Ru 0.0000 0.0000 2.1917
Ru 0.0000 2.1917 0.0000
U 1.8315 0.0000 0.0000
Hg 1.8315 2.1917 2.1917
```

--- b ---
Entry from the Alexandria database: crystalline UHgRu2 at its relaxed geometry (PBE).

Properties
density of states at the Fermi level: 4.209 states/eV/cell

Structure (extended XYZ):
```
4
Lattice="3.3742 0.0000 0.0000 0.0000 3.3742 0.0000 0.0000 0.0000 6.4870" Properties=species:S:1:pos:R:3 pbc="T T T"
Ru 0.0000 0.0000 5.0893
Ru 0.0000 0.0000 1.3977
U 1.6871 1.6871 0.0000
Hg 1.6871 1.6871 3.2435
```

Which is the most stable structure? a is the most stable.

--- a ---
Entry from the Alexandria database: crystalline HgRu3W at its relaxed geometry (PBE).

Properties
density of states at the Fermi level: 6.109 states/eV/cell

Structure (extended XYZ):
```
5
Lattice="4.7049 0.0000 0.0000 0.0000 4.7049 0.0000 0.0000 0.0000 4.7049" Properties=species:S:1:pos:R:3 pbc="T T T"
Ru 0.0000 2.3524 0.0000
Ru 0.0000 0.0000 2.3524
Ru 2.3524 0.0000 0.0000
Hg 2.3524 2.3524 2.3524
W 0.0000 0.0000 0.0000
```

--- b ---
Entry from the Alexandria database: crystalline HgRu3W at its relaxed geometry (PBE).

Properties
density of states at the Fermi level: 7.251 states/eV/cell

Structure (extended XYZ):
```
5
Lattice="4.7470 0.0000 0.0000 0.0000 4.7470 0.0000 0.0000 0.0000 4.7470" Properties=species:S:1:pos:R:3 pbc="T T T"
Ru 0.0000 2.3735 0.0000
Ru 0.0000 0.0000 2.3735
Ru 2.3735 0.0000 0.0000
Hg 0.0000 0.0000 0.0000
W 2.3735 2.3735 2.3735
```

Which is the most stable structure? a is the most stable.

--- a ---
Entry from the Alexandria database: crystalline YHg2Ru at its relaxed geometry (PBE).

Properties
density of states at the Fermi level: 2.649 states/eV/cell

Structure (extended XYZ):
```
4
Lattice="4.2343 0.0000 0.0000 0.0000 4.2343 0.0000 0.0000 0.0000 4.5912" Properties=species:S:1:pos:R:3 pbc="T T T"
Hg 0.0000 0.0000 0.0000
Hg 2.1172 2.1172 0.0000
Ru 2.1172 0.0000 2.2956
Y 0.0000 2.1172 2.2956
```

--- b ---
Entry from the Alexandria database: crystalline YHg2Ru at its relaxed geometry (PBE).

Properties
density of states at the Fermi level: 2.323 states/eV/cell

Structure (extended XYZ):
```
4
Lattice="5.3475 -0.0083 -0.0207 1.8463 5.0187 0.0207 -3.5848 -2.5225 3.0630" Properties=species:S:1:pos:R:3 pbc="T T T"
Hg 7.1937 5.0103 0.0000
Hg 2.6803 -0.0124 1.5212
Ru 3.5973 2.5054 0.0000
Y 0.9285 2.5002 1.5419
```

Which is the most stable structure? a is the most stable.

--- a ---
Entry from the Alexandria database: crystalline YHg2Ru at its relaxed geometry (PBE).

Properties
density of states at the Fermi level: 1.900 states/eV/cell

Structure (extended XYZ):
```
4
Lattice="4.1376 0.0000 0.0000 0.0000 3.6547 -0.0094 0.0000 1.8577 5.8912" Properties=species:S:1:pos:R:3 pbc="T T T"
Hg 0.0000 0.2237 0.1142
Hg 2.0688 2.0637 1.4039
Ru 0.0000 2.0758 3.2299
Y 2.0688 3.9054 4.0747
```

--- b ---
Entry from the Alexandria database: crystalline YHg2Ru at its relaxed geometry (PBE).

Properties
density of states at the Fermi level: 1.964 states/eV/cell

Structure (extended XYZ):
```
4
Lattice="-0.4895 3.7283 -0.1976 -2.4285 -0.4693 -2.8392 -4.4759 -0.3814 3.8915" Properties=species:S:1:pos:R:3 pbc="T T T"
Hg -0.0787 -0.0067 0.0684
Hg -2.1592 -0.1840 1.8773
Ru -2.5780 1.5341 -0.5455
Y -4.8159 1.3434 1.4002
```

--- c ---
Entry from the Alexandria database: crystalline YHg2Ru at its relaxed geometry (PBE).

Properties
density of states at the Fermi level: 2.326 states/eV/cell

Structure (extended XYZ):
```
4
Lattice="-1.6085 -3.5571 -2.6186 -1.1200 -0.7802 5.8564 -3.3652 0.9837 0.5096" Properties=species:S:1:pos:R:3 pbc="T T T"
Hg 0.0000 0.0000 0.0000
Hg -2.4868 -1.2867 -1.0545
Ru -2.2426 0.1017 3.1830
Y -1.3642 -2.1686 1.6189
```

--- d ---
Entry from the Alexandria database: crystalline YHg2Ru at its relaxed geometry (PBE).

Properties
density of states at the Fermi level: 2.476 states/eV/cell

Structure (extended XYZ):
```
4
Lattice="-3.9904 7.2570 3.3025 -6.6230 5.7726 1.5186 -5.8844 4.6962 4.7762" Properties=species:S:1:pos:R:3 pbc="T T T"
Hg -16.4754 17.7016 9.5842
Hg -3.9886 4.2855 2.3203
Ru -8.2331 8.8458 4.7894
Y -12.5477 13.4816 7.2994
```

Which is the most stable structure? a is the most stable.

--- a ---
Entry from the Alexandria database: crystalline YHgRu3 at its relaxed geometry (PBE).

Properties
density of states at the Fermi level: 4.791 states/eV/cell

Structure (extended XYZ):
```
5
Lattice="4.9183 0.0000 0.0000 0.0000 4.9183 0.0000 0.0000 0.0000 4.9183" Properties=species:S:1:pos:R:3 pbc="T T T"
Y 0.0000 0.0000 0.0000
Ru 0.0000 2.4591 0.0000
Ru 0.0000 0.0000 2.4591
Ru 2.4591 0.0000 0.0000
Hg 2.4591 2.4591 2.4591
```

--- b ---
Entry from the Alexandria database: crystalline YHgRu3 at its relaxed geometry (PBE).

Properties
density of states at the Fermi level: 7.557 states/eV/cell

Structure (extended XYZ):
```
5
Lattice="4.9373 0.0000 0.0000 0.0000 4.9373 0.0000 0.0000 0.0000 4.9373" Properties=species:S:1:pos:R:3 pbc="T T T"
Y 2.4687 2.4687 2.4687
Ru 0.0000 2.4687 0.0000
Ru 0.0000 0.0000 2.4687
Ru 2.4687 0.0000 0.0000
Hg 0.0000 0.0000 0.0000
```

Which is the most stable structure? b is the most stable.

--- a ---
Entry from the Alexandria database: crystalline YHg3Ru at its relaxed geometry (PBE).

Properties
density of states at the Fermi level: 6.347 states/eV/cell

Structure (extended XYZ):
```
5
Lattice="-2.3983 2.8910 -4.2699 -4.8873 -2.7762 0.8653 -1.6445 4.0344 3.6553" Properties=species:S:1:pos:R:3 pbc="T T T"
Y 0.0000 0.0000 0.0000
Ru -4.4650 2.0746 0.1254
Hg -2.4436 -1.3881 0.4327
Hg -0.8222 2.0172 1.8276
Hg -1.1991 1.4455 -2.1349
```

--- b ---
Entry from the Alexandria database: crystalline YHg3Ru at its relaxed geometry (PBE).

Properties
density of states at the Fermi level: 3.729 states/eV/cell

Structure (extended XYZ):
```
5
Lattice="-4.7621 -1.0979 -1.6017 1.9413 -2.5883 -3.9975 0.0473 -4.3062 2.8112" Properties=species:S:1:pos:R:3 pbc="T T T"
Y -1.3868 -3.9962 -1.3940
Ru 0.0000 0.0000 0.0000
Hg 0.9707 -1.2942 -1.9988
Hg 0.0236 -2.1531 1.4056
Hg -2.3810 -0.5490 -0.8009
```

Which is the most stable structure? b is the most stable.

--- a ---
Entry from the Alexandria database: crystalline Zn2HgRu2 at its relaxed geometry (PBE).

Properties
density of states at the Fermi level: 8.775 states/eV/cell

Structure (extended XYZ):
```
10
Lattice="-0.8926 -5.4605 -4.2491 -4.1877 -2.9841 4.7146 -2.5161 1.4407 -1.3229" Properties=species:S:1:pos:R:3 pbc="T T T"
Ru -4.1985 -2.1789 1.7734
Ru -5.3429 -5.4067 0.4348
Ru -3.3979 -4.8249 -2.6308
Ru -2.2535 -1.5972 -1.2923
Zn -3.9822 -4.6309 2.5303
Zn -3.4092 -6.6348 -0.7417
Zn -1.0981 -3.8137 -2.0648
Zn -1.6711 -1.8098 1.2072
Hg 0.0000 0.0000 0.0000
Hg -2.5401 -4.2223 0.2328
```

--- b ---
Entry from the Alexandria database: crystalline Zn2HgRu2 at its relaxed geometry (PBE).

Properties
density of states at the Fermi level: 6.890 states/eV/cell

Structure (extended XYZ):
```
10
Lattice="7.0837 0.0000 0.0000 0.0000 7.0837 0.0000 0.0000 0.0000 3.2275" Properties=species:S:1:pos:R:3 pbc="T T T"
Ru 2.6593 6.2012 0.0000
Ru 6.2012 4.4243 0.0000
Ru 4.4243 0.8825 0.0000
Ru 0.8825 2.6593 0.0000
Zn 1.2041 4.7459 1.6137
Zn 4.7459 5.8796 1.6137
Zn 5.8796 2.3377 1.6137
Zn 2.3377 1.2041 1.6137
Hg 0.0000 0.0000 0.0000
Hg 3.5418 3.5418 0.0000
```

Which is the most stable structure? b is the most stable.

--- a ---
Entry from the Alexandria database: crystalline ZrHg2Ru at its relaxed geometry (PBE).

Properties
density of states at the Fermi level: 4.865 states/eV/cell

Structure (extended XYZ):
```
4
Lattice="4.3640 -1.7606 0.7343 0.6380 -3.5758 3.0806 1.1135 -4.3473 -1.5951" Properties=species:S:1:pos:R:3 pbc="T T T"
Ru 3.0577 -4.8418 1.1099
Hg 1.5289 -2.4209 0.5549
Hg 4.5866 -7.2628 1.6648
Zr 0.0000 0.0000 0.0000
```

--- b ---
Entry from the Alexandria database: crystalline ZrHg2Ru at its relaxed geometry (PBE).

Properties
density of states at the Fermi level: 3.228 states/eV/cell

Structure (extended XYZ):
```
4
Lattice="3.0916 0.0000 0.0000 0.0000 4.3295 0.0000 0.0000 0.0000 5.7262" Properties=species:S:1:pos:R:3 pbc="T T T"
Hg 0.0000 0.0000 0.0565
Hg 0.0000 0.0000 2.8066
Ru 1.5458 2.1648 1.4316
Zr 1.5458 2.1648 4.2947
```

--- c ---
Entry from the Alexandria database: crystalline ZrHg2Ru at its relaxed geometry (PBE).

Properties
density of states at the Fermi level: 1.697 states/eV/cell

Structure (extended XYZ):
```
4
Lattice="-0.5976 3.1646 0.6150 -0.9500 -0.7706 3.0420 7.1912 0.8783 2.4682" Properties=species:S:1:pos:R:3 pbc="T T T"
Hg 7.1255 0.8703 2.4457
Hg 1.2405 1.4430 2.5198
Ru 3.7667 0.4601 1.2929
Zr 4.2978 1.8164 3.5692
```

--- d ---
Entry from the Alexandria database: crystalline ZrHg2Ru at its relaxed geometry (PBE).

Properties
density of states at the Fermi level: 1.816 states/eV/cell

Structure (extended XYZ):
```
4
Lattice="-4.5107 -1.7062 -1.9752 0.8873 -3.0219 -4.1520 1.9422 -0.0327 4.8359" Properties=species:S:1:pos:R:3 pbc="T T T"
Hg 0.0000 0.0000 0.0000
Hg 0.5089 -2.7093 -1.1899
Ru -1.8117 -2.3641 -3.0636
Zr -2.1901 -2.0515 -0.1015
```

Which is the most stable structure? c is the most stable.